A plane-wave DFT calculation with PBE-GGA was carried out for a relaxed structure of Ba4CoNi.

abc: 9.877 9.877 9.877
angles: 90.00 90.00 90.00
Space group F-43m (No. 216)
Symmetry-distinct sites (fractional):
Ba: 0.125 0.125 0.125 x16
Co: 0.250 0.250 0.750 x4
Ni: 0.000 0.000 0.500 x4

Computed properties:
DFT total energy: -53.1 eV for the cell shown

***

A plane-wave DFT calculation with PBE-GGA was carried out for a relaxed structure of LaZn2Cd10.

abc: 5.862 13.958 13.964
angles: 90.00 90.00 90.00
Space group Fmmm (No. 69)
Symmetry-distinct sites (fractional):
La: 0.000 0.000 0.000 x4
Zn: 0.250 0.000 0.250 x8
Cd: 0.000 0.105 0.388 x16
Cd: 0.000 0.171 0.179 x16
Cd: 0.250 0.250 0.000 x8

Computed properties:
DFT total energy: -73.7 eV for the cell shown

***

A plane-wave DFT calculation with PBE-GGA was carried out for a relaxed structure of PmSc2Al2Zn2.

abc: 4.4471 4.4471 26.1105
angles: 90.00 90.00 120.00
Space group R-3m (No. 166, hexagonal axes)
Symmetry-distinct sites (fractional):
Pm: 0.0000 0.0000 0.0000 x3
Sc: 0.0000 0.0000 0.1316 x6
Al: 0.0000 0.0000 0.2544 x6
Zn: 0.0000 0.0000 0.4115 x6

Computed properties:
DFT total energy: -89.1 eV for the cell shown

***

A plane-wave DFT calculation with PBE-GGA was carried out for a relaxed structure of Tb4MgTl.

abc: 5.1826 5.1826 25.7840
angles: 90.00 90.00 120.00
Space group R-3m (No. 166, hexagonal axes)
Symmetry-distinct sites (fractional):
Tb: 0.0000 0.0000 0.1239 x6
Tb: 0.0000 0.0000 0.3750 x6
Mg: 0.0000 0.0000 0.0000 x3
Tl: 0.0000 0.0000 0.5000 x3

Computed properties:
DFT total energy: -64.0 eV for the cell shown

***

A plane-wave DFT calculation with PBE-GGA was carried out for a relaxed structure of Tb3Pr6Dy2.

abc: 4.782 4.782 34.351
angles: 90.00 90.00 90.00
Space group I4/mmm (No. 139)
Symmetry-distinct sites (fractional):
Tb: 0.000 0.000 0.000 x2
Tb: 0.000 0.000 0.193 x4
Pr: 0.000 0.000 0.293 x4
Pr: 0.000 0.500 0.119 x8
Dy: 0.000 0.000 0.455 x4

Computed properties:
DFT total energy: -97.1 eV for the cell shown

***

A plane-wave DFT calculation with PBE-GGA was carried out for a relaxed structure of Pm3ZrS6.

abc: 6.642 7.357 11.626
angles: 90.00 122.20 90.00
Space group P2_1/c (No. 14)
Symmetry-distinct sites (fractional):
Pm: 0.000 0.000 0.000 x2
Pm: 0.303 0.102 0.757 x4
Zr: 0.500 0.000 0.500 x2
S: 0.108 0.058 0.264 x4
S: 0.261 0.680 0.077 x4
S: 0.408 0.192 0.073 x4

Computed properties:
DFT total energy: -132.3 eV for the cell shown

***

A plane-wave DFT calculation with PBE-GGA was carried out for a relaxed structure of ZnAsRh2.

abc: 7.879 3.015 5.121
angles: 90.00 101.88 90.00
Space group C2/m (No. 12)
Symmetry-distinct sites (fractional):
Zn: 0.000 0.000 0.000 x2
As: 0.000 0.500 0.500 x2
Rh: 0.249 0.000 0.738 x4

Computed properties:
DFT total energy: -43.4 eV for the cell shown

***

A plane-wave DFT calculation with PBE-GGA was carried out for a relaxed structure of Si2OsPb.

abc: 3.747 3.642 6.100
angles: 90.00 106.75 90.00
Space group Pm (No. 6)
Symmetry-distinct sites (fractional):
Si: 0.000 0.000 0.000 x1
Si: 0.496 0.500 0.010 x1
Os: 0.384 0.000 0.751 x1
Pb: 0.762 0.500 0.483 x1

Computed properties:
DFT total energy: -24.4 eV for the cell shown

***

- Which value of DFT total energy does entry 6 give?
  -132.3 eV for the cell shown